! MgNi3P GGA-PBE optimized geometry; values from VASP
&SYSTEM
  ibrav = 0, nat = 10, ntyp = 3
/
ATOMIC_SPECIES
Mg 24.30 Mg.upf
Ni 58.69 Ni.upf
P 30.97 P.upf
CELL_PARAMETERS angstrom
-2.448 3.483 3.814
2.448 -3.483 3.814
2.448 3.483 -3.814
ATOMIC_POSITIONS angstrom
Mg 0.000 1.741 0.034
Mg 2.448 1.741 3.779
Ni 1.224 3.117 -1.907
Ni 1.224 -0.366 1.907
Ni 2.448 1.741 1.263
Ni 0.000 1.741 2.550
Ni -1.224 3.849 1.907
Ni 1.224 3.849 1.907
P 2.448 0.000 0.000
P 0.000 0.000 3.814
! Polymorph energy (0 for the lowest one), eV per formula unit: 0.00
! Space group: No. 74
! M_tot, μB/f.u.: 0.0
! Crystal system: orthorhombic
! Energy of formation from the pure elements, kJ per mole of atoms: -32.6

! MgNi2P GGA-PBE optimized geometry; values from VASP
&SYSTEM
  ibrav = 0, nat = 4, ntyp = 3
/
ATOMIC_SPECIES
Mg 24.30 Mg.upf
Ni 58.69 Ni.upf
P 30.97 P.upf
CELL_PARAMETERS angstrom
-1.568 1.950 4.161
1.568 -1.950 4.161
1.568 1.950 -4.161
ATOMIC_POSITIONS angstrom
Mg 0.000 0.000 0.000
Ni 1.568 0.000 2.280
Ni 0.000 0.000 4.568
P 0.000 1.950 1.969
! Space group: No. 44
! M_tot, μB/f.u.: 0.0
! Crystal system: orthorhombic
! Energy of formation from the pure elements, kJ per mole of atoms: -27.7

! MgNiP2 GGA-PBE optimized geometry; values from VASP
&SYSTEM
  ibrav = 0, nat = 4, ntyp = 3
/
ATOMIC_SPECIES
Mg 24.30 Mg.upf
Ni 58.69 Ni.upf
P 30.97 P.upf
CELL_PARAMETERS angstrom
3.616 0.000 0.000
0.000 4.192 0.000
0.000 0.000 4.269
ATOMIC_POSITIONS angstrom
Mg 0.000 0.000 0.000
Ni 1.808 2.096 3.182
P 1.808 0.000 2.154
P 1.808 2.096 1.006
! Space group: No. 25
! M_tot, μB/f.u.: 0.0
! Crystal system: orthorhombic
! Energy of formation from the pure elements, kJ per mole of atoms: -16.8

! MgNi2P2 GGA-PBE optimized geometry; values from VASP
&SYSTEM
  ibrav = 0, nat = 10, ntyp = 3
/
ATOMIC_SPECIES
Mg 24.30 Mg.upf
Ni 58.69 Ni.upf
P 30.97 P.upf
CELL_PARAMETERS angstrom
1.835 -5.283 0.000
1.835 5.283 0.000
0.000 0.000 6.961
ATOMIC_POSITIONS angstrom
Mg 1.835 4.383 3.481
Mg 1.835 -4.383 0.000
Ni 1.835 3.182 0.916
Ni 1.835 1.068 2.584
Ni 1.835 -1.068 6.064
Ni 1.835 -3.182 4.397
P 1.835 2.875 5.669
P 1.835 0.733 4.808
P 1.835 -0.733 1.328
P 1.835 -2.875 2.189
! Space group: No. 36
! M_tot, μB/f.u.: 0.0
! Crystal system: orthorhombic
! Energy of formation from the pure elements, kJ per mole of atoms: -45.7

! MgPaNi2P2 GGA-PBE optimized geometry; values from VASP
&SYSTEM
  ibrav = 0, nat = 6, ntyp = 4
/
ATOMIC_SPECIES
Mg 24.30 Mg.upf
Pa 231.04 Pa.upf
Ni 58.69 Ni.upf
P 30.97 P.upf
CELL_PARAMETERS angstrom
3.901 0.000 0.000
-1.950 3.378 0.000
0.000 0.000 7.146
ATOMIC_POSITIONS angstrom
Mg 0.000 0.000 0.000
Pa 0.000 0.000 3.573
Ni 0.000 2.252 1.664
Ni 1.950 1.126 5.482
P 0.000 2.252 5.373
P 1.950 1.126 1.773
! Space group: No. 164
! M_tot, μB/f.u.: 0.0
! Crystal system: trigonal
! Energy of formation from the pure elements, kJ per mole of atoms: -83.3

! Pm2MgNi4P3 GGA-PBE optimized geometry; values from VASP
&SYSTEM
  ibrav = 0, nat = 10, ntyp = 4
/
ATOMIC_SPECIES
Pm 145.00 Pm.upf
Mg 24.30 Mg.upf
Ni 58.69 Ni.upf
P 30.97 P.upf
CELL_PARAMETERS angstrom
3.953 0.000 0.000
0.000 3.953 0.000
0.000 0.000 9.893
ATOMIC_POSITIONS angstrom
Pm 0.000 1.976 2.318
Pm 1.976 0.000 7.575
Mg 0.000 0.000 4.946
Ni 0.000 0.000 0.000
Ni 0.000 1.976 6.387
Ni 1.976 0.000 3.505
Ni 1.976 1.976 0.000
P 0.000 1.976 8.633
P 1.976 0.000 1.259
P 1.976 1.976 4.946
! Space group: No. 115
! M_tot, μB/f.u.: 0.0
! Crystal system: tetragonal
! Energy of formation from the pure elements, kJ per mole of atoms: -83.5

! PmMgNi2P2 GGA-PBE optimized geometry; values from VASP
&SYSTEM
  ibrav = 0, nat = 6, ntyp = 4
/
ATOMIC_SPECIES
Pm 145.00 Pm.upf
Mg 24.30 Mg.upf
Ni 58.69 Ni.upf
P 30.97 P.upf
CELL_PARAMETERS angstrom
3.960 0.000 0.000
-1.980 3.429 0.000
0.000 0.000 6.900
ATOMIC_POSITIONS angstrom
Pm 0.000 0.000 0.000
Mg 0.000 0.000 3.450
Ni 0.000 2.286 4.735
Ni 1.980 1.143 2.165
P 0.000 2.286 1.897
P 1.980 1.143 5.003
! Space group: No. 164
! M_tot, μB/f.u.: 0.0
! Crystal system: trigonal
! Energy of formation from the pure elements, kJ per mole of atoms: -85.2

! Pm2MgNi3P4 GGA-PBE optimized geometry; values from VASP
&SYSTEM
  ibrav = 0, nat = 10, ntyp = 4
/
ATOMIC_SPECIES
Pm 145.00 Pm.upf
Mg 24.30 Mg.upf
Ni 58.69 Ni.upf
P 30.97 P.upf
CELL_PARAMETERS angstrom
4.077 0.000 0.000
0.000 4.077 0.000
0.000 0.000 9.637
ATOMIC_POSITIONS angstrom
Pm 0.000 2.038 2.244
Pm 2.038 0.000 7.393
Mg 0.000 0.000 4.819
Ni 0.000 2.038 8.608
Ni 2.038 0.000 1.029
Ni 2.038 2.038 4.819
P 0.000 0.000 0.000
P 0.000 2.038 6.271
P 2.038 0.000 3.366
P 2.038 2.038 0.000
! Space group: No. 115
! M_tot, μB/f.u.: 0.0
! Crystal system: tetragonal
! Energy of formation from the pure elements, kJ per mole of atoms: -88.7

! Pr2MgNi4P3 GGA-PBE optimized geometry; values from VASP
&SYSTEM
  ibrav = 0, nat = 10, ntyp = 4
/
ATOMIC_SPECIES
Pr 140.91 Pr.upf
Mg 24.30 Mg.upf
Ni 58.69 Ni.upf
P 30.97 P.upf
CELL_PARAMETERS angstrom
4.002 0.000 0.000
0.000 4.002 0.000
0.000 0.000 9.872
ATOMIC_POSITIONS angstrom
Pr 0.000 2.001 2.323
Pr 2.001 0.000 7.548
Mg 0.000 0.000 4.936
Ni 0.000 0.000 0.000
Ni 0.000 2.001 6.352
Ni 2.001 0.000 3.519
Ni 2.001 2.001 0.000
P 0.000 2.001 8.628
P 2.001 0.000 1.244
P 2.001 2.001 4.936
! Space group: No. 115
! M_tot, μB/f.u.: 0.0
! Crystal system: tetragonal
! Energy of formation from the pure elements, kJ per mole of atoms: -80.7

! Pr2MgNi12P3 GGA-PBE optimized geometry; values from VASP
&SYSTEM
  ibrav = 0, nat = 18, ntyp = 4
/
ATOMIC_SPECIES
Pr 140.91 Pr.upf
Mg 24.30 Mg.upf
Ni 58.69 Ni.upf
P 30.97 P.upf
CELL_PARAMETERS angstrom
4.297 2.481 3.956
-4.297 2.481 3.956
0.000 -4.962 3.956
ATOMIC_POSITIONS angstrom
Pr 0.000 0.000 1.819
Pr 0.000 0.000 10.047
Mg 0.000 0.000 5.933
Ni 0.000 -2.366 3.390
Ni -2.049 1.183 3.390
Ni -2.099 -1.212 6.106
Ni 0.000 -2.423 5.761
Ni -2.099 1.212 5.761
Ni -2.049 -1.183 8.477
Ni 2.049 1.183 3.390
Ni 2.099 -1.212 6.106
Ni 0.000 2.423 6.106
Ni 2.099 1.212 5.761
Ni 2.049 -1.183 8.477
Ni 0.000 2.366 8.477
P -2.148 -1.240 3.956
P -2.148 1.240 7.911
P 0.000 2.481 3.956
! Space group: No. 166
! M_tot, μB/f.u.: 0.0
! Crystal system: trigonal
! Energy of formation from the pure elements, kJ per mole of atoms: -10.2

! PrMgNi2P2 GGA-PBE optimized geometry; values from VASP
&SYSTEM
  ibrav = 0, nat = 6, ntyp = 4
/
ATOMIC_SPECIES
Pr 140.91 Pr.upf
Mg 24.30 Mg.upf
Ni 58.69 Ni.upf
P 30.97 P.upf
CELL_PARAMETERS angstrom
3.987 0.000 0.000
-1.994 3.453 0.000
0.000 0.000 6.921
ATOMIC_POSITIONS angstrom
Pr 0.000 0.000 0.000
Mg 0.000 0.000 3.461
Ni 0.000 2.302 4.692
Ni 1.994 1.151 2.229
P 0.000 2.302 1.947
P 1.994 1.151 4.974
! Space group: No. 164
! M_tot, μB/f.u.: 0.0
! Crystal system: trigonal
! Energy of formation from the pure elements, kJ per mole of atoms: -83.7

! Mg2NiP2Rh GGA-PBE optimized geometry; values from VASP
&SYSTEM
  ibrav = 0, nat = 12, ntyp = 4
/
ATOMIC_SPECIES
Mg 24.30 Mg.upf
Ni 58.69 Ni.upf
P 30.97 P.upf
Rh 102.91 Rh.upf
CELL_PARAMETERS angstrom
-2.770 5.961 2.760
2.770 -5.961 2.760
2.770 5.961 -2.760
ATOMIC_POSITIONS angstrom
Mg 1.373 1.986 0.000
Mg 1.373 -1.986 2.760
Mg 1.397 7.948 0.000
Mg 1.397 3.975 2.760
Ni 2.770 0.000 1.380
Ni 0.000 5.961 1.380
P 4.047 1.375 0.000
P 1.276 4.587 0.000
P 1.494 1.375 2.760
P -1.276 4.587 2.760
Rh 0.000 0.000 1.380
Rh 0.000 0.000 4.140
! Space group: No. 72
! M_tot, μB/f.u.: 0.0
! Crystal system: orthorhombic
! Energy of formation from the pure elements, kJ per mole of atoms: -57.9